Entry 1:
Below is a relaxed KNa2Tl2Au2 crystal, with properties calculated at the PBE-GGA level.

a b c (Å): 5.0256 5.0256 28.2958
angles (deg): 90.00 90.00 120.00
Space group R-3m (No. 166, hexagonal axes)
Symmetry-distinct sites (fractional):
K  0.0000  0.0000  0.0000 (multiplicity 3)
Na  0.0000  0.0000  0.1329 (multiplicity 6)
Tl  0.0000  0.0000  0.2557 (multiplicity 6)
Au  0.0000  0.0000  0.4209 (multiplicity 6)

Properties
energy	-2.316	eV/atom
energy of formation	-0.170	eV/atom
magnetization	0.0	μB per formula unit
crystal system	trigonal

Entry 2:
Below is a relaxed La2CuN crystal, with properties calculated at the PBE-GGA level.

a b c (Å): 6.873 6.873 8.600
angles (deg): 90.00 90.00 90.00
Space group I-42d (No. 122)
Symmetry-distinct sites (fractional):
La  0.182  0.250  0.125 (multiplicity 8)
Cu  0.000  0.000  0.500 (multiplicity 4)
N  0.000  0.000  0.000 (multiplicity 4)

Properties
formation energy (no corrections)	-0.605	eV/atom
energy	-6.174	eV/atom
magnetization	0.0	μB per formula unit
crystal system	tetragonal

Entry 3:
Below is a relaxed ThMgOsRh crystal, with properties calculated at the PBE-GGA level.

a b c (Å): 6.746 6.746 6.746
angles (deg): 90.00 90.00 90.00
Space group F-43m (No. 216)
Symmetry-distinct sites (fractional):
Th  0.000  0.000  0.000 (multiplicity 4)
Mg  0.000  0.000  0.500 (multiplicity 4)
Os  0.250  0.250  0.750 (multiplicity 4)
Rh  0.250  0.250  0.250 (multiplicity 4)

Properties
energy	-7.211	eV/atom
energy of formation	-0.312	eV/atom
magnetization	0.0	μB per formula unit
crystal system	cubic

Entry 4:
Below is a relaxed CePr3Sn2 crystal, with properties calculated at the PBE-GGA level.

a b c (Å): 4.639 4.639 8.896
angles (deg): 90.00 90.00 90.00
Space group P-4m2 (No. 115)
Symmetry-distinct sites (fractional):
Ce  0.000  0.000  0.000 (multiplicity 1)
Pr  0.000  0.500  0.354 (multiplicity 2)
Pr  0.500  0.500  0.000 (multiplicity 1)
Sn  0.000  0.500  0.724 (multiplicity 2)

Properties
energy	-5.262	eV/atom
energy of formation	-0.549	eV/atom
magnetization	0.5	μB per formula unit
relative energy among the computed polymorphs	6	meV per atom
crystal system	tetragonal

Entry 5:
Below is a relaxed La2TaBr crystal, with properties calculated at the PBE-GGA level.

a b c (Å): 3.628 4.868 6.321
angles (deg): 90.00 90.00 90.00
Space group Pmmm (No. 47)
Symmetry-distinct sites (fractional):
La  0.000  0.000  0.000 (multiplicity 1)
La  0.500  0.000  0.500 (multiplicity 1)
Ta  0.000  0.500  0.500 (multiplicity 1)
Br  0.500  0.500  0.000 (multiplicity 1)

Properties
formation energy (no corrections)	0.298	eV/atom
energy	-5.547	eV/atom
magnetization	0.4	μB per formula unit
relative energy among the computed polymorphs	571	meV per atom
crystal system	orthorhombic

Entry 6:
Below is a relaxed TiCdPd2 crystal, with properties calculated at the PBE-GGA level.

a b c (Å): 4.731 4.731 2.988
angles (deg): 90.00 90.00 90.00
Space group P4/mmm (No. 123)
Symmetry-distinct sites (fractional):
Ti  0.000  0.000  0.000 (multiplicity 1)
Cd  0.500  0.500  0.000 (multiplicity 1)
Pd  0.000  0.500  0.500 (multiplicity 2)

Properties
energy	-5.184	eV/atom
energy of formation	-0.385	eV/atom
magnetization	0.8	μB per formula unit
crystal system	tetragonal

Entry 7:
Below is a relaxed KRb3N8 crystal, with properties calculated at the PBE-GGA level.

a b c (Å): 8.411 8.411 7.489
angles (deg): 90.00 90.00 90.00
Space group I-42m (No. 121)
Symmetry-distinct sites (fractional):
K  0.000  0.000  0.000 (multiplicity 2)
Rb  0.000  0.000  0.500 (multiplicity 2)
Rb  0.000  0.500  0.250 (multiplicity 4)
N  0.200  0.200  0.242 (multiplicity 8)
N  0.201  0.201  0.751 (multiplicity 8)

Properties
formation energy (no corrections)	-0.060	eV/atom
energy	-5.944	eV/atom
magnetization	0.0	μB per formula unit
crystal system	tetragonal

Entry 8:
Below is a relaxed FeHg2Pt crystal, with properties calculated at the PBE-GGA level.

a b c (Å): 4.148 4.148 8.250
angles (deg): 90.00 90.00 90.00
Space group I4/mmm (No. 139)
Symmetry-distinct sites (fractional):
Fe  0.000  0.000  0.000 (multiplicity 2)
Hg  0.000  0.500  0.250 (multiplicity 4)
Pt  0.000  0.000  0.500 (multiplicity 2)

Properties
energy	-3.490	eV/atom
energy of formation	0.287	eV/atom
magnetization	3.0	μB per formula unit
crystal system	tetragonal